Compound: Rb4SbI2
Source: Alexandria via LeMat-Bulk
Functional: PBE-GGA
Structure: relaxed

Output
Raw total energy = -16.69 eV/cell
Space-group type = No. 139
ΔE_f (raw) = -0.799 eV/atom

abc: 10.884 10.884 10.884
angles: 143.56 143.56 52.49
Atoms (fractional coordinates):
Rb 0.000 0.500 0.500
Rb 0.182 0.182 0.000
Rb 0.500 0.000 0.500
Rb 0.818 0.818 0.000
Sb 0.000 0.000 0.000
I 0.364 0.364 0.000
I 0.636 0.636 0.000

***

Compound: Rb3Sb2I9
Source: Alexandria via LeMat-Bulk
Functional: PBE-GGA
Structure: relaxed

Output
Raw total energy = -73.80 eV/cell
Space-group type = No. 194
ΔE_f (raw) = -0.843 eV/atom
Energy above the lowest structure with this stoichiometry = 0.014 eV/atom

abc: 8.443 8.443 21.774
angles: 90.00 90.00 120.00
Atoms (fractional coordinates):
Rb 0.000 0.000 0.250
Rb 0.000 0.000 0.750
Rb 0.333 0.667 0.060
Rb 0.333 0.667 0.440
Rb 0.667 0.333 0.560
Rb 0.667 0.333 0.940
Sb 0.333 0.667 0.658
Sb 0.333 0.667 0.842
Sb 0.667 0.333 0.158
Sb 0.667 0.333 0.342
I 0.005 0.503 0.250
I 0.166 0.332 0.584
I 0.166 0.332 0.916
I 0.166 0.834 0.584
I 0.166 0.834 0.916
I 0.332 0.166 0.084
I 0.332 0.166 0.416
I 0.497 0.503 0.250
I 0.497 0.995 0.250
I 0.503 0.005 0.750
I 0.503 0.497 0.750
I 0.668 0.834 0.584
I 0.668 0.834 0.916
I 0.834 0.166 0.084
I 0.834 0.166 0.416
I 0.834 0.668 0.084
I 0.834 0.668 0.416
I 0.995 0.497 0.750

***

Compound: RbSbI2
Source: Alexandria via LeMat-Bulk
Functional: PBE-GGA
Structure: relaxed

Output
Raw total energy = -19.86 eV/cell
Space-group type = No. 122
ΔE_f (raw) = -0.434 eV/atom
Energy above the lowest structure with this stoichiometry = 0.000 eV/atom

abc: 10.801 10.801 10.801
angles: 143.66 143.66 52.33
Atoms (fractional coordinates):
Rb 0.000 0.000 0.000
Rb 0.750 0.250 0.500
Sb 0.250 0.750 0.500
Sb 0.500 0.500 0.000
I 0.210 0.625 0.085
I 0.375 0.460 0.585
I 0.540 0.125 0.915
I 0.875 0.790 0.415